LiDyGe2Ru | PBE | optimized geometry

## Properties
For the formation energy, the calculation gives -2.680 eV/f.u. For the total moment, the calculation gives 0.00 μB per formula unit.

abc: 4.067 4.067 6.075
angles: 109.55 109.55 90.00
Atoms (fractional coordinates):
Ge 0.381 0.381 0.762
Ge 0.619 0.619 0.238
Ru 0.250 0.750 0.500
Li 0.750 0.250 0.500
Dy 0.000 0.000 0.000